Pr12Cd3N5 | PBE | optimized geometry

```
80
Lattice="14.201 0.000 0.000 -4.734 13.388 0.000 -4.734 -6.694 11.595" Properties=species:S:1:pos:R:3 pbc="T T T"
N -2.367 6.694 0.000
Pr -5.600 -0.057 9.443
Pr 1.500 -1.835 10.470
N -2.367 -3.347 5.797
Cd -3.550 -2.510 10.145
Pr -1.284 7.997 4.771
Pr 3.234 8.529 1.125
Pr 8.183 -4.783 10.337
Pr 1.813 4.742 7.949
N 4.734 6.694 0.000
Cd -3.550 2.510 10.145
N -1.183 10.878 1.449
Pr -1.813 -0.786 5.665
Pr 9.604 -2.774 7.055
N 1.183 4.184 10.145
N 7.100 0.000 0.000
N 3.550 10.041 2.899
Pr 0.137 4.150 4.672
Pr 5.600 -1.892 10.568
Pr -0.867 4.859 1.125
Cd -5.917 6.694 8.696
Pr -4.597 5.319 11.462
Cd 10.650 0.000 2.899
N 3.550 2.510 1.449
Pr 6.547 7.480 5.930
Pr 3.234 4.802 1.027
Cd 3.550 0.000 8.696
Pr 8.914 0.786 5.665
Pr 5.287 5.528 9.311
Pr 5.600 1.835 10.470
Pr -0.553 1.166 2.284
Cd 8.284 4.184 1.449
Pr 1.083 1.302 6.824
Pr 2.920 1.952 3.646
Pr 6.233 6.638 2.152
Cd 1.183 -0.837 4.348
N 5.917 3.347 8.696
Pr 5.817 1.912 1.257
Pr -3.450 11.477 1.257
Pr -2.920 7.860 9.311
N 4.734 -3.347 5.797
Pr -0.867 8.586 1.027
Pr -1.500 0.057 9.443
Pr 5.817 10.174 3.513
Cd 1.183 6.694 2.899
Pr 7.237 12.013 0.132
N 5.917 5.857 4.348
Pr -2.503 -5.319 11.462
Cd -1.183 5.857 7.247
Pr -1.083 -3.480 8.082
N 2.367 3.347 5.797
Pr 2.503 -2.545 6.922
Pr -6.017 3.480 8.082
Pr -4.870 9.468 4.540
N 1.183 -3.347 8.696
N -1.183 3.347 2.899
Pr 6.017 -1.302 6.824
Pr 4.180 -1.952 3.646
Pr 7.654 -1.166 2.284
Cd 8.284 9.205 1.449
Pr -1.083 4.783 10.337
Pr 0.553 8.646 7.949
Pr -2.503 2.774 7.055
N 8.284 -0.837 7.247
N -4.734 3.347 5.797
Pr 4.597 2.545 6.922
Pr 10.334 6.751 2.152
Cd 3.550 7.531 7.247
Pr 10.751 3.214 3.513
Pr 1.500 1.892 10.568
N -1.183 0.837 7.247
Pr 9.330 1.375 0.132
N 5.917 -4.184 10.145
Pr 2.230 9.239 4.672
Cd 5.917 0.837 4.348
Pr 3.650 5.392 4.771
N -3.550 7.531 4.348
N 0.000 0.000 0.000
Pr 7.237 3.920 4.540
Pr -4.180 5.908 5.930
```

Calculated values
- Magnetization: 0.000 μB/atom
- Formation energy (no corrections): -0.62 eV/atom
- Crystal system: cubic
- VASP energy: -456.30 eV/cell


Tc2Mo | PBE | optimized geometry

```
12
Lattice="5.077 0.000 0.000 -2.539 4.397 0.000 0.000 0.000 8.325" Properties=species:S:1:pos:R:3 pbc="T T T"
Mo 0.000 2.931 0.547
Tc 2.539 2.876 2.081
Tc 1.317 0.760 2.081
Mo 2.539 1.466 4.710
Tc 0.000 0.000 4.163
Tc 0.000 0.000 0.000
Tc 1.222 3.637 6.244
Mo 0.000 2.931 3.616
Tc 0.000 1.521 6.244
Mo 2.539 1.466 7.778
Tc 3.760 0.760 2.081
Tc -1.222 3.637 6.244
```

Calculated values
- Magnetization: 0.000 μB/atom
- Crystal system: hexagonal
- VASP energy: -124.57 eV/cell
- ΔH_f (0 K): 0.140 eV/atom


Mg2AlZn | PBE | optimized geometry

```
4
Lattice="-0.779 -2.779 -1.035 1.248 -1.673 3.554 -5.534 0.704 2.275" Properties=species:S:1:pos:R:3 pbc="T T T"
Mg -5.467 0.695 2.247
Al -3.866 -1.705 2.945
Mg -1.233 -2.040 1.863
Zn -2.800 0.356 1.151
```

Calculated values
- Magnetization: 0.000 μB/atom
- Crystal system: orthorhombic
- VASP energy: -8.16 eV/cell
- ΔH_f (0 K): 0.011 eV/atom


Number 2 is which compound? Tc2Mo


Look up the VASP energy of the first one. -456.30 eV/cell


What is the formula in the third record? Mg2AlZn